1.
Here is a relaxed structure of LaZrSc2 from Alexandria. Energies are from GGA-PBEsol.

```
LaZrSc2
1.0
1.644 0.949 10.687
-1.644 0.949 10.687
0.000 -1.898 10.687
La Zr Sc
1 1 2
Cartesian
0.000 0.000 0.000 La
0.000 0.000 16.031 Zr
0.000 0.000 7.819 Sc
0.000 0.000 24.243 Sc
```

- distance to the lowest polymorph of the same formula (meV/atom) = 15

***

2.
Here is a relaxed structure of POsBr2 from Alexandria. Energies are from GGA-PBEsol.

```
POsBr2
1.0
7.499 -1.522 0.000
7.499 1.522 0.000
-0.765 0.000 3.723
P Os Br
1 1 2
Cartesian
0.000 0.000 0.000 P
7.117 0.000 1.861 Os
1.702 0.000 2.898 Br
12.532 0.000 0.825 Br
```

- distance to the lowest polymorph of the same formula (meV/atom) = 0
- formation energy from raw total energies (eV/atom) = 0.448

***

3.
Here is a relaxed structure of TaSi2Ir from Alexandria. Energies are from GGA-PBEsol.

```
TaSi2Ir
1.0
1.819 -2.165 0.000
1.819 2.165 0.000
0.000 0.000 7.212
Ta Si Ir
1 2 1
Cartesian
0.000 0.000 0.000 Ta
1.819 0.000 1.929 Si
1.819 0.000 5.283 Si
0.000 0.000 3.606 Ir
```

- formation energy from raw total energies (eV/atom) = -0.318

***

4.
Here is a relaxed structure of ZnTc from Alexandria. Energies are from GGA-PBEsol.

```
ZnTc
1.0
2.044 1.180 4.327
-2.044 1.180 4.327
0.000 -2.360 4.327
Zn Tc
2 2
Cartesian
0.000 0.000 1.526 Zn
0.000 0.000 11.455 Zn
0.000 0.000 4.180 Tc
0.000 0.000 8.801 Tc
```

- distance to the lowest polymorph of the same formula (meV/atom) = 327

***

5.
Here is a relaxed structure of AgWSN2 from Alexandria. Energies are from GGA-PBEsol.

```
AgWSN2
1.0
3.736 0.000 0.000
0.000 3.736 0.000
0.000 0.000 5.673
Ag W S N
1 1 1 2
Cartesian
0.000 0.000 0.000 Ag
0.000 0.000 2.836 W
1.868 1.868 2.836 S
0.000 1.868 0.000 N
1.868 0.000 0.000 N
```

- formation energy from raw total energies (eV/atom) = 2.333

***

6.
Here is a relaxed structure of Ba3LiC from Alexandria. Energies are from GGA-PBEsol.

```
Ba3LiC
1.0
5.661 0.000 0.000
0.000 5.661 0.000
0.000 0.000 5.661
Ba Li C
3 1 1
Cartesian
0.000 0.000 2.830 Ba
0.000 2.830 0.000 Ba
2.830 0.000 0.000 Ba
0.000 0.000 0.000 Li
2.830 2.830 2.830 C
```

- VASP energy (Ry/atom) = -0.1567

***

7.
Here is a relaxed structure of Li2AgF from Alexandria. Energies are from GGA-PBEsol.

```
Li2AgF
1.0
0.000 3.071 3.071
3.071 0.000 3.071
3.071 3.071 0.000
Li Ag F
2 1 1
Cartesian
1.536 1.536 1.536 Li
4.607 4.607 4.607 Li
0.000 0.000 0.000 Ag
3.071 3.071 3.071 F
```

- formation energy from raw total energies (eV/atom) = -0.838

***

8.
Here is a relaxed structure of Li2PdC from Alexandria. Energies are from GGA-PBEsol.

```
Li2PdC
1.0
-3.947 3.947 1.910
3.947 -3.947 1.910
3.947 3.947 -1.910
Li Pd C
4 2 2
Cartesian
0.767 1.974 0.477 Li
-1.974 3.180 1.432 Li
-0.767 5.921 0.477 Li
1.974 4.714 1.432 Li
3.947 0.000 0.955 Pd
0.000 0.000 1.910 Pd
0.000 0.000 0.000 C
0.000 3.947 0.955 C
```

- VASP energy (Ry/atom) = -0.3402

***

9.
Here is a relaxed structure of SbIrPt2 from Alexandria. Energies are from GGA-PBEsol.

```
SbIrPt2
1.0
4.230 0.000 0.000
0.000 3.547 0.000
-0.858 0.000 4.315
Sb Ir Pt
1 1 2
Cartesian
0.000 0.000 0.000 Sb
2.115 1.774 0.000 Ir
-0.429 1.774 2.157 Pt
1.686 0.000 2.157 Pt
```

- formation energy from raw total energies (eV/atom) = -0.029

***

10.
Here is a relaxed structure of ZnSnSb2 from Alexandria. Energies are from GGA-PBEsol.

```
ZnSnSb2
1.0
4.461 0.000 0.000
0.000 4.461 0.000
0.000 0.000 6.222
Zn Sn Sb
1 1 2
Cartesian
0.000 0.000 0.000 Zn
2.231 2.231 3.111 Sn
0.000 2.231 1.371 Sb
2.231 0.000 4.852 Sb
```

- distance to the lowest polymorph of the same formula (meV/atom) = 4
- formation energy from raw total energies (eV/atom) = -0.010

***

11.
Here is a relaxed structure of NaNbPt2C from Alexandria. Energies are from GGA-PBEsol.

```
NaNbPt2C
1.0
4.561 0.000 0.000
0.000 4.561 0.000
0.000 0.000 3.935
Na Nb Pt C
1 1 2 1
Cartesian
0.000 0.000 0.000 Na
2.281 2.281 1.967 Nb
0.000 2.281 0.000 Pt
2.281 0.000 0.000 Pt
0.000 0.000 1.967 C
```

- VASP energy (Ry/atom) = -0.3651

***

12.
Here is a relaxed structure of InRe4P from Alexandria. Energies are from GGA-PBEsol.

```
InRe4P
1.0
0.000 3.677 3.677
3.677 0.000 3.677
3.677 3.677 0.000
In Re P
1 4 1
Cartesian
0.000 0.000 0.000 In
2.763 2.763 2.763 Re
4.590 4.590 2.763 Re
4.590 2.763 4.590 Re
2.763 4.590 4.590 Re
5.515 5.515 5.515 P
```

- VASP energy (Ry/atom) = -0.7036

***

What did the eighth record say?
Here is a relaxed structure of Li2PdC from Alexandria. Energies are from GGA-PBEsol.

```
Li2PdC
1.0
-3.947 3.947 1.910
3.947 -3.947 1.910
3.947 3.947 -1.910
Li Pd C
4 2 2
Cartesian
0.767 1.974 0.477 Li
-1.974 3.180 1.432 Li
-0.767 5.921 0.477 Li
1.974 4.714 1.432 Li
3.947 0.000 0.955 Pd
0.000 0.000 1.910 Pd
0.000 0.000 0.000 C
0.000 3.947 0.955 C
```

- VASP energy (Ry/atom) = -0.3402